(1)
This record from Alexandria via LeMat-Bulk describes MnCuSnAu after structural relaxation. The functional is PBE.

Structure (POSCAR):
```
MnCuSnAu
1.0
0.0000 3.2515 3.2515
3.2515 0.0000 3.2515
3.2515 3.2515 0.0000
Mn Cu Sn Au
1 1 1 1
direct
0.0000 0.0000 0.0000 Mn
0.7500 0.7500 0.7500 Cu
0.5000 0.5000 0.5000 Sn
0.2500 0.2500 0.2500 Au
```

Calculated values
Energy relative to the elements: 6.8 kJ per mole of atoms
Size of the total moment: 4.06 μB per formula unit
Raw total energy: -20.3 eV/f.u.

=====

(2)
This record from Alexandria via LeMat-Bulk describes Ta2MnCuAu after structural relaxation. The functional is PBE.

Structure (POSCAR):
```
Ta2MnCuAu
1.0
4.9700 0.0000 0.0000
0.0000 4.9700 0.0000
0.0000 0.0000 4.6535
Ta Mn Cu Au
2 1 1 1
direct
0.0000 0.5000 0.0000 Ta
0.5000 0.0000 0.0000 Ta
0.0000 0.0000 0.5000 Mn
0.5000 0.5000 0.5000 Cu
0.5000 0.5000 0.0000 Au
```

Calculated values
Energy relative to the elements: 158.1 kJ per mole of atoms
Size of the total moment: 2.76 μB per formula unit
Raw total energy: -32.1 eV/f.u.

=====

(3)
This record from Alexandria via LeMat-Bulk describes TiMnCuAu after structural relaxation. The functional is PBE.

Structure (POSCAR):
```
TiMnCuAu
1.0
0.0000 3.1408 3.1408
3.1408 0.0000 3.1408
3.1408 3.1408 0.0000
Ti Mn Cu Au
1 1 1 1
direct
0.0000 0.0000 0.0000 Ti
0.5000 0.5000 0.5000 Mn
0.7500 0.7500 0.7500 Cu
0.2500 0.2500 0.2500 Au
```

Calculated values
Energy relative to the elements: -5.4 kJ per mole of atoms
Size of the total moment: 3.94 μB per formula unit
Raw total energy: -24.7 eV/f.u.

=====

Copy entry 1 word for word.
This record from Alexandria via LeMat-Bulk describes MnCuSnAu after structural relaxation. The functional is PBE.

Structure (POSCAR):
```
MnCuSnAu
1.0
0.0000 3.2515 3.2515
3.2515 0.0000 3.2515
3.2515 3.2515 0.0000
Mn Cu Sn Au
1 1 1 1
direct
0.0000 0.0000 0.0000 Mn
0.7500 0.7500 0.7500 Cu
0.5000 0.5000 0.5000 Sn
0.2500 0.2500 0.2500 Au
```

Calculated values
Energy relative to the elements: 6.8 kJ per mole of atoms
Size of the total moment: 4.06 μB per formula unit
Raw total energy: -20.3 eV/f.u.